1.
Crystalline BaCdPtAu at its relaxed geometry, computed with PBE.

a b c (Å): 4.778 4.773 6.141
angles (deg): 112.96 90.00 120.03
Sites, in units of the cell vectors:
Au  0.822  0.644  0.108
Ba  0.619  0.237  0.498
Pt  0.419  0.838  0.899
Cd  0.107  0.214  0.962

Output
Symmetry   Cm (8)
DFT formation energy   -0.56 eV per atom
Fermi-level density of states   0.561 states/eV/atom

2.
Crystalline BaCd4PtAu2 at its relaxed geometry, computed with PBE.

a b c (Å): 4.741 4.741 11.082
angles (deg): 77.65 77.65 60.00
Sites, in units of the cell vectors:
Cd  0.416  0.416  0.751
Pt  0.500  0.500  0.500
Cd  0.584  0.584  0.249
Au  0.270  0.270  0.191
Au  0.730  0.730  0.809
Ba  0.000  0.000  0.000
Cd  0.856  0.856  0.432
Cd  0.144  0.144  0.568

Output
Symmetry   R-3m (166)
DFT formation energy   -0.35 eV per atom
Fermi-level density of states   0.412 states/eV/atom

3.
Crystalline Ba6Cd2PtAu at its relaxed geometry, computed with PBE.

a b c (Å): 8.155 9.090 12.126
angles (deg): 90.00 89.38 90.00
Sites, in units of the cell vectors:
Ba  0.335  0.691  0.439
Ba  0.871  0.529  0.244
Cd  0.949  0.110  0.750
Ba  0.180  0.177  0.440
Ba  0.371  0.971  0.744
Pt  0.500  0.000  0.500
Au  0.500  0.000  0.000
Ba  0.629  0.029  0.256
Pt  0.000  0.500  0.000
Au  0.000  0.500  0.500
Ba  0.320  0.677  0.060
Ba  0.129  0.471  0.756
Cd  0.051  0.890  0.250
Ba  0.820  0.823  0.560
Ba  0.165  0.191  0.061
Ba  0.680  0.323  0.940
Cd  0.449  0.390  0.250
Ba  0.835  0.809  0.939
Ba  0.665  0.309  0.561
Cd  0.551  0.610  0.750

Output
Symmetry   P2_1/c (14)
DFT formation energy   -0.45 eV per atom
Fermi-level density of states   0.697 states/eV/atom

4.
Crystalline Ba2PuCdAu6 at its relaxed geometry, computed with PBE.

a b c (Å): 7.735 7.735 7.735
angles (deg): 60.00 60.00 90.00
Sites, in units of the cell vectors:
Pu  0.500  0.500  0.000
Au  0.755  0.245  0.000
Ba  0.250  0.750  0.500
Au  0.245  0.755  0.000
Ba  0.750  0.250  0.500
Au  0.755  0.755  0.489
Cd  0.000  0.000  0.000
Au  0.245  0.245  0.000
Au  0.755  0.755  0.000
Au  0.245  0.245  0.511

Output
Symmetry   Fm-3m (225)
DFT formation energy   -0.20 eV per atom
Fermi-level density of states   1.675 states/eV/atom

5.
Crystalline RbBaCd2Au2 at its relaxed geometry, computed with PBE.

a b c (Å): 4.944 4.944 9.524
angles (deg): 90.00 90.00 120.00
Sites, in units of the cell vectors:
Au  0.333  0.667  0.786
Au  0.667  0.333  0.214
Rb  0.000  0.000  0.500
Cd  0.667  0.333  0.765
Cd  0.333  0.667  0.235
Ba  0.000  0.000  0.000

Output
Symmetry   P-3m1 (164)
DFT formation energy   -0.40 eV per atom
Fermi-level density of states   0.642 states/eV/atom

6.
Crystalline RbBaCd2Au at its relaxed geometry, computed with PBE.

a b c (Å): 5.620 5.620 6.040
angles (deg): 90.00 90.00 90.00
Sites, in units of the cell vectors:
Ba  0.000  0.000  0.500
Rb  0.500  0.500  0.500
Cd  0.500  0.000  0.000
Au  0.000  0.000  0.000
Cd  0.000  0.500  0.000

Output
Symmetry   P4/mmm (123)
DFT formation energy   -0.15 eV per atom
Fermi-level density of states   0.714 states/eV/atom

Number 1: total moment 0.00 μB/cell. Number 2: total moment 0.00 μB/cell. Number 3: total moment 0.00 μB/cell. Number 4: total moment 5.70 μB/cell. Number 5: total moment 0.00 μB/cell. Number 6: total moment 0.00 μB/cell.